# BaSr3Pt

A crystal of BaSr3Pt relaxed with PBEsol (SCAN, the Alexandria database).

abc: 5.994 5.994 5.994
angles: 90.00 90.00 90.00
Space group Pm-3m (No. 221)
Inequivalent atoms, fractional coordinates:
Ba1 0.000 0.000 0.000 (multiplicity 1)
Sr1 0.000 0.500 0.500 (multiplicity 3)
Pt1 0.500 0.500 0.500 (multiplicity 1)

ΔH_f (0 K): -0.476 eV/atom
raw total energy: -35.79 eV/atom
relative energy among the computed polymorphs: 0.000 eV/atom
ρ: 4.59 Mg/m³
crystal system: cubic

***

# CdTcP2

A crystal of CdTcP2 relaxed with PBEsol (SCAN, the Alexandria database).

abc: 5.715 6.615 3.156
angles: 90.00 90.00 90.00
Space group Cmmm (No. 65)
Inequivalent atoms, fractional coordinates:
Cd1 0.000 0.000 0.000 (multiplicity 2)
Tc1 0.000 0.500 0.000 (multiplicity 2)
P1 0.250 0.250 0.500 (multiplicity 4)

ΔH_f (0 K): 0.519 eV/atom
raw total energy: -21.05 eV/atom
ρ: 7.58 Mg/m³
crystal system: orthorhombic

***

# LiFeBO3

A crystal of LiFeBO3 relaxed with PBEsol (SCAN, the Alexandria database).

abc: 8.2610 8.2610 2.8794
angles: 90.00 90.00 120.00
Space group P-6 (No. 174)
Inequivalent atoms, fractional coordinates:
Li1 0.0113 0.3720 0.0000 (multiplicity 3)
Fe1 0.3163 0.3076 0.5000 (multiplicity 3)
B1 0.0000 0.0000 0.0000 (multiplicity 1)
B2 0.3333 0.6667 0.5000 (multiplicity 1)
B3 0.6667 0.3333 0.5000 (multiplicity 1)
O1 0.1937 0.1007 0.0000 (multiplicity 3)
O2 0.2201 0.4742 0.5000 (multiplicity 3)
O3 0.5561 0.1411 0.5000 (multiplicity 3)

uncorrected formation energy: -12.599 eV per formula unit
raw total energy: -9.87 eV/atom
relative energy among the computed polymorphs: 0.042 eV/atom
ρ: 3.56 Mg/m³
crystal system: hexagonal

***

# Pr2SnS5

A crystal of Pr2SnS5 relaxed with PBEsol (SCAN, the Alexandria database).

abc: 7.732 11.143 3.970
angles: 90.00 90.00 90.00
Space group Pbam (No. 55)
Inequivalent atoms, fractional coordinates:
Pr1 0.072 0.169 0.000 (multiplicity 4)
Sn1 0.000 0.500 0.500 (multiplicity 2)
S1 0.000 0.000 0.500 (multiplicity 2)
S2 0.146 0.705 0.500 (multiplicity 4)
S3 0.193 0.430 0.000 (multiplicity 4)

uncorrected formation energy: -13.254 eV per formula unit
raw total energy: -23.00 eV/atom
ρ: 5.45 Mg/m³
crystal system: orthorhombic

***

# HfHPd3

A crystal of HfHPd3 relaxed with PBEsol (SCAN, the Alexandria database).

abc: 4.021 4.021 4.021
angles: 90.00 90.00 90.00
Space group Pm-3m (No. 221)
Inequivalent atoms, fractional coordinates:
Hf1 0.000 0.000 0.000 (multiplicity 1)
H1 0.500 0.500 0.500 (multiplicity 1)
Pd1 0.000 0.500 0.500 (multiplicity 3)

raw total energy: -33.37 eV/atom
ρ: 12.74 Mg/m³
crystal system: cubic

***

# SrRhSe4

A crystal of SrRhSe4 relaxed with PBEsol (SCAN, the Alexandria database).

abc: 7.997 7.997 7.997
angles: 90.00 90.00 90.00
Space group F-43m (No. 216)
Inequivalent atoms, fractional coordinates:
Sr1 0.000 0.000 0.000 (multiplicity 4)
Rh1 0.250 0.250 0.250 (multiplicity 4)
Se1 0.123 0.123 0.623 (multiplicity 16)

uncorrected formation energy: 1.236 eV per formula unit
raw total energy: -22.52 eV/atom
ρ: 6.58 Mg/m³
crystal system: cubic

***

# ReTc3W

A crystal of ReTc3W relaxed with PBEsol (SCAN, the Alexandria database).

abc: 4.540 4.540 4.540
angles: 90.00 90.00 90.00
Space group Pm-3m (No. 221)
Inequivalent atoms, fractional coordinates:
Re1 0.000 0.000 0.000 (multiplicity 1)
Tc1 0.000 0.000 0.500 (multiplicity 3)
W1 0.500 0.500 0.500 (multiplicity 1)

ΔH_f (0 K): 2.114 eV/atom
raw total energy: -47.08 eV/atom
ρ: 11.78 Mg/m³
crystal system: cubic

***

# Li2Ti4O9

A crystal of Li2Ti4O9 relaxed with PBEsol (SCAN, the Alexandria database).

abc: 5.0133 5.0133 13.7804
angles: 90.00 90.00 120.00
Space group P-3c1 (No. 165)
Inequivalent atoms, fractional coordinates:
Li1 0.0000 0.0000 0.1455 (multiplicity 4)
Ti1 0.3333 0.6667 0.0248 (multiplicity 4)
Ti2 0.3333 0.6667 0.3122 (multiplicity 4)
O1 0.0000 0.3383 0.2500 (multiplicity 6)
O2 0.0254 0.3839 0.9182 (multiplicity 12)

uncorrected formation energy: -47.209 eV per formula unit
raw total energy: -11.48 eV/atom
ρ: 3.87 Mg/m³
crystal system: trigonal

***

# IrPb2W

A crystal of IrPb2W relaxed with PBEsol (SCAN, the Alexandria database).

abc: 6.699 6.699 6.699
angles: 90.00 90.00 90.00
Space group Fm-3m (No. 225)
Inequivalent atoms, fractional coordinates:
Ir1 0.000 0.000 0.000 (multiplicity 4)
Pb1 0.250 0.250 0.250 (multiplicity 8)
W1 0.000 0.000 0.500 (multiplicity 4)

ΔH_f (0 K): 1.136 eV/atom
raw total energy: -71.95 eV/atom
relative energy among the computed polymorphs: 0.831 eV/atom
ρ: 17.46 Mg/m³
crystal system: cubic

***

# MoSeIBr2

A crystal of MoSeIBr2 relaxed with PBEsol (SCAN, the Alexandria database).

abc: 5.023 5.023 4.909
angles: 90.00 90.00 90.00
Space group P4/mmm (No. 123)
Inequivalent atoms, fractional coordinates:
Mo1 0.000 0.000 0.000 (multiplicity 1)
Se1 0.000 0.000 0.500 (multiplicity 1)
I1 0.500 0.500 0.500 (multiplicity 1)
Br1 0.000 0.500 0.000 (multiplicity 2)

uncorrected formation energy: 0.531 eV per formula unit
raw total energy: -26.02 eV/atom
ρ: 6.19 Mg/m³
crystal system: tetragonal

***

# SbCl

A crystal of SbCl relaxed with PBEsol (SCAN, the Alexandria database).

abc: 4.4684 4.4684 6.0820
angles: 90.00 90.00 120.00
Space group P6_3/mmc (No. 194)
Inequivalent atoms, fractional coordinates:
Sb1 0.3333 0.6667 0.2500 (multiplicity 2)
Cl1 0.0000 0.0000 0.0000 (multiplicity 2)

uncorrected formation energy: 0.979 eV per formula unit
raw total energy: -22.13 eV/atom
relative energy among the computed polymorphs: 0.711 eV/atom
ρ: 4.96 Mg/m³
crystal system: hexagonal

***

# TcTe2W

A crystal of TcTe2W relaxed with PBEsol (SCAN, the Alexandria database).

abc: 3.270 5.418 8.604
angles: 90.00 90.00 90.00
Space group Cmmm (No. 65)
Inequivalent atoms, fractional coordinates:
Tc1 0.000 0.000 0.000 (multiplicity 2)
Te1 0.000 0.500 0.244 (multiplicity 4)
W1 0.000 0.000 0.500 (multiplicity 2)

uncorrected formation energy: 4.612 eV per formula unit
raw total energy: -43.66 eV/atom
relative energy among the computed polymorphs: 0.571 eV/atom
ρ: 11.70 Mg/m³
crystal system: orthorhombic